1.
Below is a relaxed Rb8Hg2Br crystal, with properties calculated at the PBE level.

Results
Density = 2.8 g/cm3
Raw formation energy = -0.368 eV per atom
Uncorrected energy = -1.28 eV per atom
Symmetry = C2/m, No. 12
M_tot = 0.00 μB/f.u.

a = 5.261 Å, b = 11.259 Å, c = 12.114 Å
α = 95.44°, β = 102.54°, γ = 90.00°
Atoms (fractional coordinates):
Hg 0.180 0.733 0.360
Hg 0.820 0.267 0.640
Rb 0.999 0.201 0.997
Rb 0.401 0.458 0.802
Rb 0.787 0.668 0.574
Rb 0.599 0.542 0.198
Rb 0.213 0.332 0.426
Rb 0.659 0.981 0.318
Rb 0.001 0.799 0.003
Rb 0.341 0.019 0.682
Br 0.500 0.000 0.000

---

2.
Below is a relaxed Ac2CdSn3Au6 crystal, with properties calculated at the PBE level.

Results
Density = 9.8 g/cm3
ΔE_f = -3.25 eV per formula unit
Uncorrected energy = -3.67 eV per atom
Symmetry = P4/mmm, No. 123
M_tot = 0.00 μB/f.u.

a = 4.679 Å, b = 4.679 Å, c = 16.297 Å
α = 90.00°, β = 90.00°, γ = 90.00°
Atoms (fractional coordinates):
Ac 0.500 0.500 0.235
Ac 0.500 0.500 0.765
Sn 0.000 0.000 0.680
Sn 0.000 0.000 0.000
Sn 0.000 0.000 0.320
Au 0.500 0.000 0.594
Au 0.000 0.000 0.842
Au 0.000 0.500 0.406
Au 0.500 0.000 0.406
Au 0.000 0.500 0.594
Au 0.000 0.000 0.158
Cd 0.500 0.500 0.500

---

3.
Below is a relaxed MnBeCr2 crystal, with properties calculated at the PBE level.

Results
Density = 6.6 g/cm3
ΔE_f = 0.16 eV per formula unit
Uncorrected energy = -8.00 eV per atom
Symmetry = Cmm2, No. 35
M_tot = 0.00 μB/f.u.

a = 2.397 Å, b = 2.397 Å, c = 7.725 Å
α = 90.00°, β = 90.00°, γ = 107.69°
Atoms (fractional coordinates):
Cr 0.500 0.500 0.253
Cr 0.000 0.000 0.990
Mn 0.000 0.000 0.511
Be 0.500 0.500 0.746

---

4.
Below is a relaxed Ce2Bi2HO crystal, with properties calculated at the PBE level.

Results
Density = 9.0 g/cm3
Uncorrected energy = -5.96 eV per atom
Symmetry = Ibam, No. 72
M_tot = 0.67 μB/f.u.

a = 5.841 Å, b = 5.839 Å, c = 8.740 Å
α = 109.51°, β = 109.52°, γ = 90.00°
Each line ends with the local moment (μB).
Atoms (fractional coordinates):
Bi 0.420 0.188 0.376  0.00
Bi 0.044 0.312 0.624  0.00
Bi 0.580 0.812 0.624  0.00
Bi 0.956 0.688 0.376  0.00
Ce 0.188 0.920 0.841  0.31
Ce 0.812 0.080 0.159  0.31
Ce 0.653 0.420 0.841  0.31
Ce 0.347 0.580 0.159  0.31
H 0.000 0.750 0.000  0.00
H 0.000 0.250 0.000  0.00
O 0.500 0.250 0.000  -0.01
O 0.500 0.750 0.000  -0.01

---

5.
Below is a relaxed TaBe2Cr crystal, with properties calculated at the PBE level.

Results
Density = 8.8 g/cm3
ΔE_f = 0.57 eV per formula unit
Uncorrected energy = -7.09 eV per atom
Symmetry = P4/mmm, No. 123
M_tot = 0.37 μB/f.u.

a = 2.674 Å, b = 2.674 Å, c = 6.592 Å
α = 90.00°, β = 90.00°, γ = 90.00°
Each line ends with the local moment (μB).
Atoms (fractional coordinates):
Be 0.000 0.000 0.476  -0.01
Be 0.000 0.000 0.024  -0.01
Cr 0.500 0.500 0.250  0.40
Ta 0.500 0.500 0.750  -0.02

---

6.
Below is a relaxed PuMn5P3 crystal, with properties calculated at the PBE level.

Results
Density = 8.4 g/cm3
ΔE_f = -5.10 eV per formula unit
Uncorrected energy = -9.06 eV per atom
Symmetry = Cmcm, No. 63
M_tot = 11.48 μB/f.u.

a = 3.680 Å, b = 6.231 Å, c = 11.069 Å
α = 90.00°, β = 90.00°, γ = 107.17°
Each line ends with the local moment (μB).
Atoms (fractional coordinates):
Mn 0.192 0.384 0.557  1.49
Mn 0.808 0.616 0.057  1.49
Mn 0.808 0.616 0.443  1.49
Mn 0.445 0.890 0.146  0.83
Mn 0.445 0.890 0.354  0.83
Mn 0.555 0.110 0.854  0.83
Mn 0.000 0.000 0.500  1.66
Mn 0.555 0.110 0.646  0.83
Mn 0.192 0.384 0.943  1.49
Mn 0.000 0.000 0.000  1.66
P 0.381 0.761 0.946  -0.08
P 0.619 0.239 0.446  -0.08
P 0.619 0.239 0.054  -0.08
P 0.381 0.761 0.554  -0.08
P 0.877 0.753 0.250  -0.05
P 0.123 0.247 0.750  -0.05
Pu 0.163 0.326 0.250  5.02
Pu 0.837 0.674 0.750  5.02